1.
The following is a DFT calculation (GGA-PBE) of a relaxed structure of Hf4SbN.

Volume in Å³/atom: 19.8
M_tot in Bohr magnetons per cell: 0.00
Formation energy from raw total energies in eV per atom: -0.513
Calculated total energy in eV per formula unit: -55.342

Cell: 6.1995 6.0653 6.3537 Å, 90.00 94.64 90.00°
With the nearest neighbours (Å) after each atom.
Sites, in units of the cell vectors:
N 0.0000 0.5000 0.5000  6 Hf 2.12-2.35
N 0.5000 0.0000 0.5000  6 Hf 2.12-2.35
Hf 0.8191 0.1666 0.4154  2 N 2.32-2.35
Hf 0.3191 0.3334 0.4154  2 N 2.32-2.35
Hf 0.5962 0.1152 0.8091  1 N 2.12
Hf 0.4038 0.8848 0.1909  1 N 2.12
Hf 0.9038 0.6152 0.1909  1 N 2.12
Hf 0.6809 0.6666 0.5846  2 N 2.32-2.35
Hf 0.1809 0.8334 0.5846  2 N 2.32-2.35
Hf 0.0962 0.3848 0.8091  1 N 2.12
Sb 0.0000 0.0000 0.0000  4 Hf 2.72-2.78
Sb 0.5000 0.5000 0.0000  4 Hf 2.72-2.78

***

2.
The following is a DFT calculation (GGA-PBE) of a relaxed structure of Tl2FeCl4.

Volume in Å³/atom: 27.5
M_tot in Bohr magnetons per cell: 4.00
Formation energy from raw total energies in eV per atom: -0.856
Calculated total energy in eV per formula unit: -26.577

Cell: 3.9895 8.2587 8.2812 Å, 131.86 103.94 90.00°
With the nearest neighbours (Å) after each atom.
Sites, in units of the cell vectors:
Cl 0.9621 0.2322 0.9243  1 Fe 2.38
Cl 0.3605 0.7762 0.7210  2 Fe 2.59
Cl 0.6395 0.2238 0.2790  2 Fe 2.59
Cl 0.0379 0.7678 0.0757  1 Fe 2.38
Tl 0.3407 0.3729 0.6814  5 Cl 3.12-3.24
Tl 0.6593 0.6271 0.3186  5 Cl 3.12-3.24
Fe 0.0000 0.0000 0.0000  6 Cl 2.38-2.59

***

3.
The following is a DFT calculation (GGA-PBE) of a relaxed structure of Ho3Pd2Au.

Volume in Å³/atom: 24.6
M_tot in Bohr magnetons per cell: 0.00
ΔH_f (0 K) in kJ/mol of formula units: -448.8
Calculated total energy in eV per formula unit: -32.048

Cell: 7.6032 7.6032 7.6032 Å, 57.80 57.80 57.80°
With the nearest neighbours (Å) after each atom.
Sites, in units of the cell vectors:
Ho 0.2500 0.5537 0.9463  4 Pd 2.89, 2 Au 3.01
Ho 0.4463 0.0537 0.7500  4 Pd 2.89, 2 Au 3.01
Ho 0.7500 0.4463 0.0537  4 Pd 2.89, 2 Au 3.01
Ho 0.5537 0.9463 0.2500  4 Pd 2.89, 2 Au 3.01
Ho 0.0537 0.7500 0.4463  4 Pd 2.89, 2 Au 3.01
Ho 0.9463 0.2500 0.5537  4 Pd 2.89, 2 Au 3.01
Pd 0.1531 0.1531 0.1531  6 Ho 2.89, 1 Au 2.90
Pd 0.3469 0.3469 0.3469  6 Ho 2.89, 1 Au 2.90
Pd 0.6531 0.6531 0.6531  6 Ho 2.89, 1 Au 2.90
Pd 0.8469 0.8469 0.8469  6 Ho 2.89, 1 Au 2.90
Au 0.0000 0.0000 0.0000  2 Pd 2.90, 6 Ho 3.01
Au 0.5000 0.5000 0.5000  2 Pd 2.90, 6 Ho 3.01

***

4.
The following is a DFT calculation (GGA-PBE) of a relaxed structure of BaMnP2Cl.

Volume in Å³/atom: 56.1
M_tot in Bohr magnetons per cell: 9.99
Formation energy from raw total energies in eV per atom: 1.003
Calculated total energy in eV per formula unit: -18.741

Cell: 6.3425 6.3425 6.9694 Å, 90.00 90.00 90.00°
With the nearest neighbours (Å) after each atom.
Sites, in units of the cell vectors:
P 0.5000 0.0000 0.0000  2 Ba 3.17
P 0.0000 0.5000 0.0000  2 Ba 3.17
Cl 0.0000 0.0000 0.5000  2 Ba 3.48
Mn 0.5000 0.5000 0.5000  4 Cl 4.48, 8 P 4.71
Ba 0.0000 0.0000 0.0000  4 P 3.17, 2 Cl 3.48